A relaxed structure of TaSiTe2, computed with PBE.

Cell lengths 4.9152, 4.9152, 4.9152 Å; angles 60.00, 60.00, 60.00 degrees
Fractional positions:
Te: 0.0000 0.0000 0.0000
Te: 0.2500 0.2500 0.2500
Ta: 0.7500 0.7500 0.7500
Si: 0.5000 0.5000 0.5000

magnetic moment = 0.0000 μB per atom
energy = -5.205 eV per atom
space-group type = F-43m
Fermi-level density of states = 4.33 states/eV/f.u.